Entry 1:
A relaxed Sr3Pa3RhN8 crystal. Source: the Alexandria database, functional PBE.

The structure in CIF format:
```
data_Sr3Pa3RhN8
_chemical_formula_sum 'Sr9 Pa9 Rh3 N24'
_space_group_name_H-M_alt 'R -3 m'
_space_group_IT_number 166
_space_group_name_Hall '-R 3 2"'
_cell_length_a 6.9913
_cell_length_b 6.9913
_cell_length_c 17.8378
_cell_angle_alpha 90.00
_cell_angle_beta 90.00
_cell_angle_gamma 120.00
loop_
_atom_site_label
_atom_site_fract_x
_atom_site_fract_y
_atom_site_fract_z
Sr1 0.0000 0.5000 0.0000
Pa1 0.0000 0.5000 0.5000
Rh1 0.0000 0.0000 0.5000
N1 0.0000 0.0000 0.2360
N2 0.0022 0.5011 0.7712
```

Output
Raw formation energy   -1.052 eV/atom
Crystal system   trigonal

=====

Entry 2:
A relaxed Nd5Sm2 crystal. Source: the Alexandria database, functional PBE.

The structure in CIF format:
```
data_Nd5Sm2
_chemical_formula_sum 'Nd10 Sm4'
_space_group_name_H-M_alt 'C 1 2/m 1'
_space_group_IT_number 12
_space_group_name_Hall '-C 2y'
_cell_length_a 11.6001
_cell_length_b 5.1918
_cell_length_c 8.1895
_cell_angle_alpha 90.00
_cell_angle_beta 98.03
_cell_angle_gamma 90.00
loop_
_atom_site_label
_atom_site_fract_x
_atom_site_fract_y
_atom_site_fract_z
Nd1 0.0000 0.0000 0.0000
Nd2 0.0714 0.5000 0.7157
Nd3 0.1431 0.0000 0.4289
Sm1 0.2145 0.5000 0.1424
```

Output
Energy of formation   0.012 eV/atom
Crystal system   monoclinic

=====

Entry 3:
A relaxed PmEr3Ga2 crystal. Source: the Alexandria database, functional PBE.

The structure in CIF format:
```
data_PmEr3Ga2
_chemical_formula_sum 'Pm2 Er6 Ga4'
_space_group_name_H-M_alt 'P m c 21'
_space_group_IT_number 26
_space_group_name_Hall 'P 2c -2'
_cell_length_a 4.9195
_cell_length_b 9.4891
_cell_length_c 6.6082
_cell_angle_alpha 90.00
_cell_angle_beta 90.00
_cell_angle_gamma 90.00
loop_
_atom_site_label
_atom_site_fract_x
_atom_site_fract_y
_atom_site_fract_z
Pm1 0.0000 0.0494 0.0000
Er1 0.0000 0.3241 0.6276
Er2 0.5000 0.1876 0.2913
Er3 0.5000 0.4469 0.9227
Ga1 0.0000 0.3632 0.1715
Ga2 0.5000 0.1407 0.7449
```

Output
Energy of formation   -0.422 eV/atom
Crystal system   orthorhombic

=====

Entry 4:
A relaxed SiTe2RuI crystal. Source: the Alexandria database, functional PBE.

The structure in CIF format:
```
data_SiTe2RuI
_chemical_formula_sum 'Si1 Te2 Ru1 I1'
_space_group_name_H-M_alt 'P 4/m m m'
_space_group_IT_number 123
_space_group_name_Hall '-P 4 2'
_cell_length_a 5.1384
_cell_length_b 5.1384
_cell_length_c 5.4886
_cell_angle_alpha 90.00
_cell_angle_beta 90.00
_cell_angle_gamma 90.00
loop_
_atom_site_label
_atom_site_fract_x
_atom_site_fract_y
_atom_site_fract_z
Si1 0.0000 0.0000 0.0000
Te1 0.0000 0.5000 0.5000
Ru1 0.5000 0.5000 0.5000
I1 0.5000 0.5000 0.0000
```

Output
Raw formation energy   0.766 eV/atom
Crystal system   tetragonal

=====

Entry 5:
A relaxed Sr3V5S11 crystal. Source: the Alexandria database, functional PBE.

The structure in CIF format:
```
data_Sr3V5S11
_chemical_formula_sum 'Sr24 V40 S88'
_space_group_name_H-M_alt 'C 1 2/c 1'
_space_group_IT_number 15
_space_group_name_Hall '-C 2yc'
_cell_length_a 8.5989
_cell_length_b 15.0145
_cell_length_c 23.4279
_cell_angle_alpha 90.00
_cell_angle_beta 98.51
_cell_angle_gamma 90.00
loop_
_atom_site_label
_atom_site_fract_x
_atom_site_fract_y
_atom_site_fract_z
Sr1 0.0620 0.1793 0.1754
Sr2 0.1686 0.4798 0.1807
Sr3 0.1724 0.1233 0.6784
V1 0.0000 0.3202 0.7500
V2 0.0492 0.0885 0.9996
V3 0.0594 0.3188 0.8751
V4 0.0966 0.3404 0.0025
V5 0.1953 0.4590 0.4986
V6 0.2500 0.2500 0.5000
S1 0.0000 0.0124 0.2500
S2 0.0000 0.3446 0.2500
S3 0.0033 0.4463 0.9376
S4 0.0477 0.2248 0.5557
S5 0.0854 0.3450 0.4327
S6 0.1330 0.0150 0.5683
S7 0.1396 0.2093 0.8131
S8 0.1427 0.4302 0.8127
S9 0.1473 0.1315 0.4391
S10 0.1937 0.3216 0.6843
S11 0.2029 0.2012 0.0555
S12 0.2234 0.0766 0.9342
```

Output
Raw formation energy   -1.294 eV/atom
Crystal system   monoclinic

=====

Entry 6:
A relaxed Re2TcPt crystal. Source: the Alexandria database, functional PBE.

The structure in CIF format:
```
data_Re2TcPt
_chemical_formula_sum 'Re8 Tc4 Pt4'
_space_group_name_H-M_alt 'F -4 3 m'
_space_group_IT_number 216
_space_group_name_Hall 'F -4 2 3'
_cell_length_a 6.2459
_cell_length_b 6.2459
_cell_length_c 6.2459
_cell_angle_alpha 90.00
_cell_angle_beta 90.00
_cell_angle_gamma 90.00
loop_
_atom_site_label
_atom_site_fract_x
_atom_site_fract_y
_atom_site_fract_z
Re1 0.0000 0.0000 0.0000
Re2 0.2500 0.2500 0.2500
Tc1 0.0000 0.0000 0.5000
Pt1 0.2500 0.2500 0.7500
```

Output
Energy of formation   0.306 eV/atom
Crystal system   cubic

=====

Entry 7:
A relaxed BeHgGePt2 crystal. Source: the Alexandria database, functional PBE.

The structure in CIF format:
```
data_BeHgGePt2
_chemical_formula_sum 'Be1 Hg1 Ge1 Pt2'
_space_group_name_H-M_alt 'P 4/m m m'
_space_group_IT_number 123
_space_group_name_Hall '-P 4 2'
_cell_length_a 5.0923
_cell_length_b 5.0923
_cell_length_c 4.2501
_cell_angle_alpha 90.00
_cell_angle_beta 90.00
_cell_angle_gamma 90.00
loop_
_atom_site_label
_atom_site_fract_x
_atom_site_fract_y
_atom_site_fract_z
Be1 0.0000 0.0000 0.0000
Hg1 0.0000 0.0000 0.5000
Ge1 0.5000 0.5000 0.0000
Pt1 0.0000 0.5000 0.5000
```

Output
Energy of formation   1.065 eV/atom
Crystal system   tetragonal

=====

Entry 8:
A relaxed Er2Ga3Rh crystal. Source: the Alexandria database, functional PBE.

The structure in CIF format:
```
data_Er2Ga3Rh
_chemical_formula_sum 'Er4 Ga6 Rh2'
_space_group_name_H-M_alt 'I m m m'
_space_group_IT_number 71
_space_group_name_Hall '-I 2 2'
_cell_length_a 4.6493
_cell_length_b 5.5845
_cell_length_c 9.7137
_cell_angle_alpha 90.00
_cell_angle_beta 90.00
_cell_angle_gamma 90.00
loop_
_atom_site_label
_atom_site_fract_x
_atom_site_fract_y
_atom_site_fract_z
Er1 0.0000 0.0000 0.1924
Ga1 0.0000 0.5000 0.1285
Ga2 0.0000 0.5000 0.5000
Rh1 0.0000 0.0000 0.5000
```

Output
Energy of formation   -0.363 eV/atom
Crystal system   orthorhombic

=====

Entry 9:
A relaxed CaAlAg4 crystal. Source: the Alexandria database, functional PBE.

The structure in CIF format:
```
data_CaAlAg4
_chemical_formula_sum 'Ca4 Al4 Ag16'
_space_group_name_H-M_alt 'F -4 3 m'
_space_group_IT_number 216
_space_group_name_Hall 'F -4 2 3'
_cell_length_a 7.8836
_cell_length_b 7.8836
_cell_length_c 7.8836
_cell_angle_alpha 90.00
_cell_angle_beta 90.00
_cell_angle_gamma 90.00
loop_
_atom_site_label
_atom_site_fract_x
_atom_site_fract_y
_atom_site_fract_z
Ca1 0.0000 0.0000 0.0000
Al1 0.2500 0.2500 0.7500
Ag1 0.1246 0.1246 0.3754
```

Output
Energy of formation   -0.109 eV/atom
Crystal system   cubic

=====

Entry 10:
A relaxed Li2Mg6Cd crystal. Source: the Alexandria database, functional PBE.

The structure in CIF format:
```
data_Li2Mg6Cd
_chemical_formula_sum 'Li4 Mg12 Cd2'
_space_group_name_H-M_alt 'C 1 2/m 1'
_space_group_IT_number 12
_space_group_name_Hall '-C 2y'
_cell_length_a 8.4776
_cell_length_b 4.9445
_cell_length_c 9.0333
_cell_angle_alpha 90.00
_cell_angle_beta 91.14
_cell_angle_gamma 90.00
loop_
_atom_site_label
_atom_site_fract_x
_atom_site_fract_y
_atom_site_fract_z
Li1 0.1667 0.0000 0.2812
Mg1 0.9998 0.5000 0.1738
Mg2 0.1669 0.0000 0.6094
Mg3 0.1668 0.0000 0.9515
Cd1 0.0000 0.5000 0.5000
```

Output
Energy of formation   -0.079 eV/atom
Crystal system   monoclinic

=====

Entry 11:
A relaxed ZrBeCr crystal. Source: the Alexandria database, functional PBE.

The structure in CIF format:
```
data_ZrBeCr
_chemical_formula_sum 'Zr4 Be4 Cr4'
_space_group_name_H-M_alt 'F -4 3 m'
_space_group_IT_number 216
_space_group_name_Hall 'F -4 2 3'
_cell_length_a 6.1076
_cell_length_b 6.1076
_cell_length_c 6.1076
_cell_angle_alpha 90.00
_cell_angle_beta 90.00
_cell_angle_gamma 90.00
loop_
_atom_site_label
_atom_site_fract_x
_atom_site_fract_y
_atom_site_fract_z
Zr1 0.0000 0.0000 0.0000
Be1 0.2500 0.2500 0.2500
Cr1 0.2500 0.2500 0.7500
```

Output
Energy of formation   1.124 eV/atom
Crystal system   cubic

=====

Entry 12:
A relaxed ErIn6Pb crystal. Source: the Alexandria database, functional PBE.

The structure in CIF format:
```
data_ErIn6Pb
_chemical_formula_sum 'Er1 In6 Pb1'
_space_group_name_H-M_alt 'P 4/m m m'
_space_group_IT_number 123
_space_group_name_Hall '-P 4 2'
_cell_length_a 6.8025
_cell_length_b 6.8025
_cell_length_c 4.5924
_cell_angle_alpha 90.00
_cell_angle_beta 90.00
_cell_angle_gamma 90.00
loop_
_atom_site_label
_atom_site_fract_x
_atom_site_fract_y
_atom_site_fract_z
Er1 0.0000 0.0000 0.0000
In1 0.0000 0.5000 0.0000
In2 0.2464 0.2464 0.5000
Pb1 0.5000 0.5000 0.0000
```

Output
Energy of formation   -0.129 eV/atom
Crystal system   tetragonal

=====

Entry 13:
A relaxed Li2BeNi crystal. Source: the Alexandria database, functional PBE.

The structure in CIF format:
```
data_Li2BeNi
_chemical_formula_sum 'Li4 Be2 Ni2'
_space_group_name_H-M_alt 'I 4/m m m'
_space_group_IT_number 139
_space_group_name_Hall '-I 4 2'
_cell_length_a 3.2662
_cell_length_b 3.2662
_cell_length_c 8.2514
_cell_angle_alpha 90.00
_cell_angle_beta 90.00
_cell_angle_gamma 90.00
loop_
_atom_site_label
_atom_site_fract_x
_atom_site_fract_y
_atom_site_fract_z
Li1 0.0000 0.5000 0.2500
Be1 0.0000 0.0000 0.0000
Ni1 0.0000 0.0000 0.5000
```

Output
Energy of formation   0.052 eV/atom
Crystal system   tetragonal

=====

Entry 14:
A relaxed TbPN2 crystal. Source: the Alexandria database, functional PBE.

The structure in CIF format:
```
data_TbPN2
_chemical_formula_sum 'Tb2 P2 N4'
_space_group_name_H-M_alt 'P m m n'
_space_group_IT_number 59
_cell_length_a 3.6331
_cell_length_b 5.7329
_cell_length_c 6.1354
_cell_angle_alpha 90.00
_cell_angle_beta 90.00
_cell_angle_gamma 90.00
loop_
_space_group_symop_operation_xyz
'x,y,z'
'-x,-y,-z'
'-x+1/2,-y+1/2,z'
'x+1/2,y+1/2,-z'
'x+1/2,-y,-z'
'-x+1/2,y,z'
'-x,y+1/2,-z'
'x,-y+1/2,z'
loop_
_atom_site_label
_atom_site_fract_x
_atom_site_fract_y
_atom_site_fract_z
Tb1 0.2500 0.2500 0.1470
P1 0.2500 0.2500 0.6543
N1 0.2500 0.0183 0.8011
```

Output
Raw formation energy   -1.020 eV/atom
Crystal system   orthorhombic

=====

Entry 15:
A relaxed BaMn2Zn crystal. Source: the Alexandria database, functional PBE.

The structure in CIF format:
```
data_BaMn2Zn
_chemical_formula_sum 'Ba1 Mn2 Zn1'
_space_group_name_H-M_alt 'P 4/m m m'
_space_group_IT_number 123
_space_group_name_Hall '-P 4 2'
_cell_length_a 3.3958
_cell_length_b 3.3958
_cell_length_c 7.6731
_cell_angle_alpha 90.00
_cell_angle_beta 90.00
_cell_angle_gamma 90.00
loop_
_atom_site_label
_atom_site_fract_x
_atom_site_fract_y
_atom_site_fract_z
Ba1 0.0000 0.0000 0.0000
Mn1 0.5000 0.5000 0.3324
Zn1 0.0000 0.0000 0.5000
```

Output
Energy of formation   0.523 eV/atom
Crystal system   tetragonal

=====

Entry 16:
A relaxed SmErIr crystal. Source: the Alexandria database, functional PBE.

The structure in CIF format:
```
data_SmErIr
_chemical_formula_sum 'Sm1 Er1 Ir1'
_space_group_name_H-M_alt 'P 3 m 1'
_space_group_IT_number 156
_space_group_name_Hall 'P 3 -2"'
_cell_length_a 4.1310
_cell_length_b 4.1310
_cell_length_c 6.1777
_cell_angle_alpha 90.00
_cell_angle_beta 90.00
_cell_angle_gamma 120.00
loop_
_atom_site_label
_atom_site_fract_x
_atom_site_fract_y
_atom_site_fract_z
Sm1 0.0000 0.0000 0.0000
Er1 0.3333 0.6667 0.4593
Ir1 0.6667 0.3333 0.2400
```

Output
Energy of formation   -0.534 eV/atom
Crystal system   trigonal

=====

Entry 17:
A relaxed CsLiGa crystal. Source: the Alexandria database, functional PBE.

The structure in CIF format:
```
data_CsLiGa
_chemical_formula_sum 'Cs4 Li4 Ga4'
_space_group_name_H-M_alt 'C m c m'
_space_group_IT_number 63
_space_group_name_Hall '-C 2c 2'
_cell_length_a 4.5485
_cell_length_b 24.4548
_cell_length_c 4.4449
_cell_angle_alpha 90.00
_cell_angle_beta 90.00
_cell_angle_gamma 90.00
loop_
_atom_site_label
_atom_site_fract_x
_atom_site_fract_y
_atom_site_fract_z
Cs1 0.0000 0.1569 0.2500
Li1 0.0000 0.0324 0.7500
Ga1 0.0000 0.4741 0.7500
```

Output
Energy of formation   -0.034 eV/atom
Crystal system   orthorhombic

=====

Entry 18:
A relaxed HgOs3 crystal. Source: the Alexandria database, functional PBE.

The structure in CIF format:
```
data_HgOs3
_chemical_formula_sum 'Hg4 Os12'
_space_group_name_H-M_alt 'P n m a'
_space_group_IT_number 62
_space_group_name_Hall '-P 2ac 2n'
_cell_length_a 4.9701
_cell_length_b 9.1041
_cell_length_c 5.5884
_cell_angle_alpha 90.00
_cell_angle_beta 90.00
_cell_angle_gamma 90.00
loop_
_atom_site_label
_atom_site_fract_x
_atom_site_fract_y
_atom_site_fract_z
Hg1 0.0654 0.2500 0.1323
Os1 0.0819 0.2500 0.6426
Os2 0.2195 0.5108 0.3679
```

Output
Energy of formation   0.748 eV/atom
Crystal system   orthorhombic

=====

Entry 19:
A relaxed SrBiO crystal. Source: the Alexandria database, functional PBE.

The structure in CIF format:
```
data_SrBiO
_chemical_formula_sum 'Sr2 Bi2 O2'
_space_group_name_H-M_alt 'P 4/n m m'
_space_group_IT_number 129
_cell_length_a 4.3692
_cell_length_b 4.3692
_cell_length_c 8.7133
_cell_angle_alpha 90.00
_cell_angle_beta 90.00
_cell_angle_gamma 90.00
loop_
_space_group_symop_operation_xyz
'x,y,z'
'-x,-y,-z'
'-y+1/2,x,z'
'y+1/2,-x,-z'
'-x+1/2,-y+1/2,z'
'x+1/2,y+1/2,-z'
'y,-x+1/2,z'
'-y,x+1/2,-z'
'x+1/2,-y,-z'
'-x+1/2,y,z'
'-y,-x,-z'
'y,x,z'
'-x,y+1/2,-z'
'x,-y+1/2,z'
'y+1/2,x+1/2,-z'
'-y+1/2,-x+1/2,z'
loop_
_atom_site_label
_atom_site_fract_x
_atom_site_fract_y
_atom_site_fract_z
Sr1 0.2500 0.2500 0.1133
Bi1 0.2500 0.2500 0.5660
O1 0.2500 0.7500 0.0000
```

Output
Raw formation energy   -1.491 eV/atom
Crystal system   tetragonal

=====

Entry 20:
A relaxed HoTm6Zr crystal. Source: the Alexandria database, functional PBE.

The structure in CIF format:
```
data_HoTm6Zr
_chemical_formula_sum 'Ho1 Tm6 Zr1'
_space_group_name_H-M_alt 'P 4/m m m'
_space_group_IT_number 123
_space_group_name_Hall '-P 4 2'
_cell_length_a 4.8812
_cell_length_b 4.8812
_cell_length_c 9.7320
_cell_angle_alpha 90.00
_cell_angle_beta 90.00
_cell_angle_gamma 90.00
loop_
_atom_site_label
_atom_site_fract_x
_atom_site_fract_y
_atom_site_fract_z
Ho1 0.0000 0.0000 0.0000
Tm1 0.0000 0.5000 0.2602
Tm2 0.5000 0.5000 0.0000
Tm3 0.5000 0.5000 0.5000
Zr1 0.0000 0.0000 0.5000
```

Output
Energy of formation   0.049 eV/atom
Crystal system   tetragonal

=====

Computed size of the total moment (μB per cell) in order:
0.0 0.0 0.0 0.0 22.8 0.0 0.0 0.0 0.0 0.0 13.6 0.0 0.0 0.0 7.4 0.0 0.0 0.0 0.4 0.0
Computed raw total energy (Ry per atom) in order:
-0.6040 -0.3485 -0.3310 -0.2749 -0.4666 -0.7365 -0.2264 -0.3398 -0.2181 -0.1226 -0.4539 -0.2364 -0.2412 -0.5654 -0.3572 -0.4837 -0.1445 -0.5696 -0.3673 -0.3635